1.
The following is a DFT calculation (GGA-PBE) of a relaxed structure of TaPBr2.

## Properties
Distance to the lowest polymorph of the same formula: 1179.4 meV per atom
ΔE_f (raw): 0.759 eV per atom

a = 4.6976 Å, b = 4.6976 Å, c = 4.6976 Å
α = 60.00°, β = 60.00°, γ = 60.00°
Element x y z (fractional)
1 Ta 0.0000 0.0000 0.0000
2 P 0.5000 0.5000 0.5000
3 Br 0.2500 0.2500 0.2500
4 Br 0.7500 0.7500 0.7500

2.
The following is a DFT calculation (GGA-PBE) of a relaxed structure of Sm6Dy3Tm2Mg.

## Properties
Energy of formation: 26 meV per atom

a = 6.1821 Å, b = 6.1821 Å, c = 11.6819 Å
α = 95.09°, β = 95.09°, γ = 120.04°
Element x y z (fractional)
1 Sm 0.0855 0.4185 0.7531
2 Sm 0.2484 0.2484 0.2483
3 Sm 0.4185 0.0855 0.7531
4 Sm 0.5815 0.9145 0.2469
5 Sm 0.7516 0.7516 0.7517
6 Sm 0.9145 0.5815 0.2469
7 Dy 0.0000 0.0000 0.5000
8 Dy 0.3335 0.6665 0.5000
9 Dy 0.6665 0.3335 0.5000
10 Tm 0.1662 0.8338 0.0000
11 Tm 0.8338 0.1662 0.0000
12 Mg 0.5000 0.5000 0.0000

3.
The following is a DFT calculation (GGA-PBE) of a relaxed structure of Ba4HgPb.

## Properties
Energy of formation: 183 meV per atom
Distance to the lowest polymorph of the same formula: 526.1 meV per atom

a = 7.2874 Å, b = 7.2874 Å, c = 7.2874 Å
α = 60.00°, β = 60.00°, γ = 60.00°
Element x y z (fractional)
1 Ba 0.3760 0.3760 0.3760
2 Ba 0.3760 0.3760 0.8721
3 Ba 0.3760 0.8721 0.3760
4 Ba 0.8721 0.3760 0.3760
5 Hg 0.0000 0.0000 0.0000
6 Pb 0.7500 0.7500 0.7500

4.
The following is a DFT calculation (GGA-PBE) of a relaxed structure of Pm2AgSn3Rh4.

## Properties
Energy of formation: -597 meV per atom

a = 4.2537 Å, b = 4.2537 Å, c = 11.7106 Å
α = 90.00°, β = 90.00°, γ = 90.00°
Element x y z (fractional)
1 Pm 0.0000 0.5000 0.2355
2 Pm 0.5000 0.0000 0.7645
3 Ag 0.5000 0.5000 0.0000
4 Sn 0.0000 0.0000 0.0000
5 Sn 0.0000 0.5000 0.6290
6 Sn 0.5000 0.0000 0.3710
7 Rh 0.0000 0.0000 0.5000
8 Rh 0.0000 0.5000 0.8501
9 Rh 0.5000 0.0000 0.1499
10 Rh 0.5000 0.5000 0.5000

5.
The following is a DFT calculation (GGA-PBE) of a relaxed structure of CaMn3Rh.

## Properties
Energy of formation: 530 meV per atom
Distance to the lowest polymorph of the same formula: 0.0 meV per atom

a = 4.8683 Å, b = 4.8683 Å, c = 4.8683 Å
α = 90.00°, β = 90.00°, γ = 90.00°
Element x y z (fractional)
1 Ca 0.0000 0.0000 0.0000
2 Mn 0.0000 0.5000 0.5000
3 Mn 0.5000 0.0000 0.5000
4 Mn 0.5000 0.5000 0.0000
5 Rh 0.5000 0.5000 0.5000

6.
The following is a DFT calculation (GGA-PBE) of a relaxed structure of Cr2HgBr.

## Properties
Distance to the lowest polymorph of the same formula: 939.9 meV per atom
ΔE_f (raw): 1.202 eV per atom

a = 4.4934 Å, b = 4.4934 Å, c = 4.4934 Å
α = 60.00°, β = 60.00°, γ = 60.00°
Element x y z (fractional)
1 Cr 0.2500 0.2500 0.2500
2 Cr 0.7500 0.7500 0.7500
3 Hg 0.0000 0.0000 0.0000
4 Br 0.5000 0.5000 0.5000